Material: CrCd2Re
Method: DFT, PBE-GGA
State: relaxed

DFT total energy = -21.34 eV for the cell shown
Energy of formation from the pure elements = 0.641 eV per atom
V = 17.217 Å³ per atom
Fermi-level density of states = 2.3 states/eV/f.u.

Lattice parameters (Å, degrees): 2.7873 4.8015 5.2285 90.00 100.19 90.00
Last column: nearest neighbours and their distance in Å.
Fractional coordinates of all 4 atoms:
Cr: 0.0000 0.0000 0.0000  2 Re 2.74, 2 Cr 2.79, 4 Cd 2.85
Cd: 0.2283 0.5000 0.7521  4 Cd 2.72-2.79, 2 Cr 2.85, 2 Re 2.90
Cd: 0.7717 0.5000 0.2479  4 Cd 2.72-2.79, 2 Cr 2.85, 2 Re 2.90
Re: 0.5000 0.0000 0.5000  2 Cr 2.74, 2 Re 2.79, 4 Cd 2.90